(1)
Compound: LiIn
Source: the Alexandria database
Functional: GGA-PBEsol
Structure: relaxed

Geometry as POSCAR:
```
LiIn
1.0
3.174 0.000 0.000
-1.587 2.749 0.000
0.000 0.000 4.682
Li In
1 1
Direct
0.000 0.000 0.000 Li
0.667 0.333 0.500 In
```

## Properties
Density of states at the Fermi level: 0.711 states/eV per cell
Symmetry: No. 187
Crystal system: hexagonal
Total magnetization: 0.00 μB per cell
Energy of formation: -0.22 eV/atom
Volume: 20.4 A^3/atom

(2)
Compound: FeSiW
Source: the Alexandria database
Functional: GGA-PBEsol
Structure: relaxed

Geometry as POSCAR:
```
FeSiW
1.0
7.530 0.000 0.000
0.000 2.421 3.992
0.000 -2.421 3.992
Fe Si W
4 4 4
Direct
0.000 0.000 0.000 Fe
0.000 0.520 0.997 Fe
0.000 0.997 0.520 Fe
0.500 0.319 0.319 Fe
0.236 0.182 0.182 Si
0.500 0.334 0.815 Si
0.500 0.815 0.334 Si
0.764 0.182 0.182 Si
0.181 0.508 0.508 W
0.309 0.839 0.839 W
0.691 0.839 0.839 W
0.819 0.508 0.508 W
```

## Properties
Density of states at the Fermi level: 9.049 states/eV per cell
Formation energy without anion corrections: -0.3457 eV per atom
Symmetry: No. 38
Crystal system: orthorhombic
Total magnetization: 2.07 μB per cell
Energy above the most stable polymorph in this dataset: 19.0 meV per atom
Volume: 12.1 A^3/atom

(3)
Compound: SrCaBi2As
Source: the Alexandria database
Functional: GGA-PBEsol
Structure: relaxed

Geometry as POSCAR:
```
SrCaBi2As
1.0
5.725 0.000 0.000
0.000 5.725 0.000
0.000 0.000 5.317
Sr Ca Bi As
1 1 2 1
Direct
0.000 0.000 0.000 Sr
0.500 0.500 0.500 Ca
0.000 0.500 0.500 Bi
0.500 0.000 0.500 Bi
0.500 0.500 0.000 As
```

## Properties
Density of states at the Fermi level: 3.423 states/eV per cell
Symmetry: No. 123
Crystal system: tetragonal
Total magnetization: 0.00 μB per cell
Energy of formation: -0.08 eV/atom
Volume: 34.8 A^3/atom

(4)
Compound: GaSbMo3
Source: the Alexandria database
Functional: GGA-PBEsol
Structure: relaxed

Geometry as POSCAR:
```
GaSbMo3
1.0
4.567 0.000 0.000
0.000 4.567 0.000
0.000 0.000 4.567
Ga Sb Mo
1 1 3
Direct
0.000 0.000 0.000 Ga
0.500 0.500 0.500 Sb
0.000 0.000 0.500 Mo
0.000 0.500 0.000 Mo
0.500 0.000 0.000 Mo
```

## Properties
Density of states at the Fermi level: 6.183 states/eV per cell
Formation energy without anion corrections: 1.4010 eV per atom
Symmetry: No. 221
Crystal system: cubic
Total magnetization: 0.00 μB per cell
Energy above the most stable polymorph in this dataset: 0.0 meV per atom
Volume: 19.1 A^3/atom

(5)
Compound: In3RePd
Source: the Alexandria database
Functional: GGA-PBEsol
Structure: relaxed

Geometry as POSCAR:
```
In3RePd
1.0
5.076 0.000 0.000
0.000 5.076 0.000
0.000 0.000 5.076
In Re Pd
3 1 1
Direct
0.000 0.000 0.500 In
0.000 0.500 0.000 In
0.500 0.000 0.000 In
0.000 0.000 0.000 Re
0.500 0.500 0.500 Pd
```

## Properties
Density of states at the Fermi level: 3.197 states/eV per cell
Symmetry: No. 221
Crystal system: cubic
Total magnetization: 0.00 μB per cell
Energy of formation: 0.85 eV/atom
Volume: 26.2 A^3/atom

(6)
Compound: AlCrCuPd2
Source: the Alexandria database
Functional: GGA-PBEsol
Structure: relaxed

Geometry as POSCAR:
```
AlCrCuPd2
1.0
4.552 0.000 0.000
0.000 4.552 0.000
0.000 0.000 4.255
Al Cr Cu Pd
1 1 1 2
Direct
0.000 0.000 0.000 Al
0.500 0.500 0.000 Cr
0.000 0.000 0.500 Cu
0.000 0.500 0.500 Pd
0.500 0.000 0.500 Pd
```

## Properties
Density of states at the Fermi level: 2.765 states/eV per cell
Symmetry: No. 123
Crystal system: tetragonal
Total magnetization: 4.33 μB per cell
Energy of formation: 0.70 eV/atom
Volume: 17.6 A^3/atom

(7)
Compound: Sr2NiHg
Source: the Alexandria database
Functional: GGA-PBEsol
Structure: relaxed

Geometry as POSCAR:
```
Sr2NiHg
1.0
4.517 0.000 0.000
0.000 4.517 0.000
0.000 0.000 10.238
Sr Ni Hg
4 2 2
Direct
0.000 0.000 0.000 Sr
0.000 0.500 0.250 Sr
0.500 0.000 0.750 Sr
0.500 0.500 0.500 Sr
0.000 0.500 0.750 Ni
0.500 0.000 0.250 Ni
0.000 0.000 0.500 Hg
0.500 0.500 0.000 Hg
```

## Properties
Density of states at the Fermi level: 6.483 states/eV per cell
Symmetry: No. 119
Crystal system: tetragonal
Total magnetization: 0.00 μB per cell
Energy of formation: 0.05 eV/atom
Volume: 26.1 A^3/atom

(8)
Compound: Zr2BeCuIr
Source: the Alexandria database
Functional: GGA-PBEsol
Structure: relaxed

Geometry as POSCAR:
```
Zr2BeCuIr
1.0
4.637 0.000 0.000
0.000 4.637 0.000
0.000 0.000 3.972
Zr Be Cu Ir
2 1 1 1
Direct
0.000 0.500 0.000 Zr
0.500 0.000 0.000 Zr
0.000 0.000 0.000 Be
0.500 0.500 0.500 Cu
0.000 0.000 0.500 Ir
```

## Properties
Density of states at the Fermi level: 3.610 states/eV per cell
Symmetry: No. 123
Crystal system: tetragonal
Total magnetization: 0.00 μB per cell
Energy of formation: 0.18 eV/atom
Volume: 17.1 A^3/atom